(1)
# SmMgInCu PBE optimized geometry
# Calculated volume in A^3/atom: 22.2
# E_form in eV/atom: -0.262
# ρ in g/cm3: 6.6
data_SmMgInCu
_chemical_formula_sum 'Sm4 Mg4 In4 Cu4'
_cell_length_a 7.080
_cell_length_b 7.080
_cell_length_c 7.080
_cell_angle_alpha 90.00
_cell_angle_beta 90.00
_cell_angle_gamma 90.00
_space_group_name_H-M_alt 'F -4 3 m'
_space_group_IT_number 216
_space_group_name_Hall 'F -4 2 3'
loop_
_atom_site_label
_atom_site_fract_x
_atom_site_fract_y
_atom_site_fract_z
_atom_site_occupancy
Sm1 0.000 0.000 0.000 1
Mg1 0.000 0.000 0.500 1
In1 0.250 0.250 0.750 1
Cu1 0.250 0.250 0.250 1

=====

(2)
# MgInCuSn PBE optimized geometry
# Calculated volume in A^3/atom: 21.2
# E_form in eV/atom: 0.098
# ρ in g/cm3: 6.3
data_MgInCuSn
_chemical_formula_sum 'Mg4 In4 Cu4 Sn4'
_cell_length_a 6.976
_cell_length_b 6.976
_cell_length_c 6.976
_cell_angle_alpha 90.00
_cell_angle_beta 90.00
_cell_angle_gamma 90.00
_space_group_name_H-M_alt 'F -4 3 m'
_space_group_IT_number 216
_space_group_name_Hall 'F -4 2 3'
loop_
_atom_site_label
_atom_site_fract_x
_atom_site_fract_y
_atom_site_fract_z
_atom_site_occupancy
Mg1 0.000 0.000 0.000 1
In1 0.250 0.250 0.250 1
Cu1 0.000 0.000 0.500 1
Sn1 0.250 0.250 0.750 1

=====

(3)
# SrMgIn2Cu PBE optimized geometry
# Calculated volume in A^3/atom: 26.7
# E_form in eV/atom: -0.115
# ρ in g/cm3: 5.0
data_SrMgIn2Cu
_chemical_formula_sum 'Sr1 Mg1 In2 Cu1'
_cell_length_a 5.156
_cell_length_b 5.156
_cell_length_c 5.029
_cell_angle_alpha 90.00
_cell_angle_beta 90.00
_cell_angle_gamma 90.00
_space_group_name_H-M_alt 'P 4/m m m'
_space_group_IT_number 123
_space_group_name_Hall '-P 4 2'
loop_
_atom_site_label
_atom_site_fract_x
_atom_site_fract_y
_atom_site_fract_z
_atom_site_occupancy
Sr1 0.000 0.000 0.000 1
Mg1 0.500 0.500 0.000 1
In1 0.000 0.500 0.500 1
Cu1 0.500 0.500 0.500 1

=====

(4)
# SrMg2InCu PBE optimized geometry
# Calculated volume in A^3/atom: 26.0
# E_form in eV/atom: -0.095
# ρ in g/cm3: 4.0
data_SrMg2InCu
_chemical_formula_sum 'Sr1 Mg2 In1 Cu1'
_cell_length_a 5.063
_cell_length_b 5.063
_cell_length_c 5.068
_cell_angle_alpha 90.00
_cell_angle_beta 90.00
_cell_angle_gamma 90.00
_space_group_name_H-M_alt 'P 4/m m m'
_space_group_IT_number 123
_space_group_name_Hall '-P 4 2'
loop_
_atom_site_label
_atom_site_fract_x
_atom_site_fract_y
_atom_site_fract_z
_atom_site_occupancy
Sr1 0.000 0.000 0.000 1
Mg1 0.000 0.500 0.500 1
In1 0.500 0.500 0.000 1
Cu1 0.500 0.500 0.500 1

=====

(5)
# TbMgInCu PBE optimized geometry
# Calculated volume in A^3/atom: 21.5
# E_form in eV/atom: -0.264
# ρ in g/cm3: 7.0
data_TbMgInCu
_chemical_formula_sum 'Tb4 Mg4 In4 Cu4'
_cell_length_a 7.008
_cell_length_b 7.008
_cell_length_c 7.008
_cell_angle_alpha 90.00
_cell_angle_beta 90.00
_cell_angle_gamma 90.00
_space_group_name_H-M_alt 'F -4 3 m'
_space_group_IT_number 216
_space_group_name_Hall 'F -4 2 3'
loop_
_atom_site_label
_atom_site_fract_x
_atom_site_fract_y
_atom_site_fract_z
_atom_site_occupancy
Tb1 0.000 0.000 0.000 1
Mg1 0.000 0.000 0.500 1
In1 0.250 0.250 0.750 1
Cu1 0.250 0.250 0.250 1

=====

(6)
# MgIn2CuTe4 PBE optimized geometry
# Raw formation energy in meV per atom: -359
# Calculated volume in A^3/atom: 34.8
# ρ in g/cm3: 4.9
data_MgIn2CuTe4
_chemical_formula_sum 'Mg4 In8 Cu4 Te16'
_cell_length_a 9.295
_cell_length_b 9.429
_cell_length_c 12.719
_cell_angle_alpha 90.00
_cell_angle_beta 90.00
_cell_angle_gamma 90.00
_space_group_name_H-M_alt 'F m m 2'
_space_group_IT_number 42
_space_group_name_Hall 'F 2 -2'
loop_
_atom_site_label
_atom_site_fract_x
_atom_site_fract_y
_atom_site_fract_z
_atom_site_occupancy
Mg1 0.000 0.000 0.000 1
In1 0.250 0.250 0.251 1
Cu1 0.000 0.000 0.500 1
Te1 0.000 0.236 0.611 1
Te2 0.236 0.000 0.386 1

=====

(7)
# ThMg2In2Cu PBE optimized geometry
# Calculated volume in A^3/atom: 27.8
# E_form in eV/atom: 0.458
# ρ in g/cm3: 5.7
data_ThMg2In2Cu
_chemical_formula_sum 'Th2 Mg4 In4 Cu2'
_cell_length_a 5.413
_cell_length_b 5.413
_cell_length_c 11.398
_cell_angle_alpha 90.00
_cell_angle_beta 90.00
_cell_angle_gamma 90.00
_space_group_name_H-M_alt 'I 4/m m m'
_space_group_IT_number 139
_space_group_name_Hall '-I 4 2'
loop_
_atom_site_label
_atom_site_fract_x
_atom_site_fract_y
_atom_site_fract_z
_atom_site_occupancy
Th1 0.000 0.000 0.000 1
Mg1 0.000 0.500 0.250 1
In1 0.000 0.000 0.287 1
Cu1 0.000 0.000 0.500 1

=====

(8)
# Mg2TlInCu PBE optimized geometry
# Calculated volume in A^3/atom: 25.0
# E_form in eV/atom: 0.058
# ρ in g/cm3: 5.7
data_Mg2TlInCu
_chemical_formula_sum 'Mg2 Tl1 In1 Cu1'
_cell_length_a 5.029
_cell_length_b 5.029
_cell_length_c 4.946
_cell_angle_alpha 90.00
_cell_angle_beta 90.00
_cell_angle_gamma 90.00
_space_group_name_H-M_alt 'P 4/m m m'
_space_group_IT_number 123
_space_group_name_Hall '-P 4 2'
loop_
_atom_site_label
_atom_site_fract_x
_atom_site_fract_y
_atom_site_fract_z
_atom_site_occupancy
Mg1 0.000 0.500 0.000 1
Tl1 0.000 0.000 0.500 1
In1 0.500 0.500 0.500 1
Cu1 0.500 0.500 0.000 1

=====

(9)
# TmMgInCu PBE optimized geometry
# Calculated volume in A^3/atom: 20.9
# E_form in eV/atom: -0.246
# ρ in g/cm3: 7.4
data_TmMgInCu
_chemical_formula_sum 'Tm4 Mg4 In4 Cu4'
_cell_length_a 6.939
_cell_length_b 6.939
_cell_length_c 6.939
_cell_angle_alpha 90.00
_cell_angle_beta 90.00
_cell_angle_gamma 90.00
_space_group_name_H-M_alt 'F -4 3 m'
_space_group_IT_number 216
_space_group_name_Hall 'F -4 2 3'
loop_
_atom_site_label
_atom_site_fract_x
_atom_site_fract_y
_atom_site_fract_z
_atom_site_occupancy
Tm1 0.000 0.000 0.000 1
Mg1 0.000 0.000 0.500 1
In1 0.250 0.250 0.250 1
Cu1 0.250 0.250 0.750 1

=====

(10)
# MgInCu2W PBE optimized geometry
# Calculated volume in A^3/atom: 22.6
# E_form in eV/atom: 1.416
# ρ in g/cm3: 6.6
data_MgInCu2W
_chemical_formula_sum 'Mg1 In1 Cu2 W1'
_cell_length_a 4.688
_cell_length_b 4.688
_cell_length_c 5.136
_cell_angle_alpha 90.00
_cell_angle_beta 90.00
_cell_angle_gamma 90.00
_space_group_name_H-M_alt 'P 4/m m m'
_space_group_IT_number 123
_space_group_name_Hall '-P 4 2'
loop_
_atom_site_label
_atom_site_fract_x
_atom_site_fract_y
_atom_site_fract_z
_atom_site_occupancy
Mg1 0.000 0.000 0.000 1
In1 0.500 0.500 0.500 1
Cu1 0.000 0.500 0.500 1
W1 0.500 0.500 0.000 1

=====

(11)
# Y2MgInCu PBE optimized geometry
# Calculated volume in A^3/atom: 33.4
# E_form in eV/atom: 0.591
# ρ in g/cm3: 3.8
data_Y2MgInCu
_chemical_formula_sum 'Y2 Mg1 In1 Cu1'
_cell_length_a 5.734
_cell_length_b 5.734
_cell_length_c 5.079
_cell_angle_alpha 90.00
_cell_angle_beta 90.00
_cell_angle_gamma 90.00
_space_group_name_H-M_alt 'P 4/m m m'
_space_group_IT_number 123
_space_group_name_Hall '-P 4 2'
loop_
_atom_site_label
_atom_site_fract_x
_atom_site_fract_y
_atom_site_fract_z
_atom_site_occupancy
Y1 0.000 0.500 0.000 1
Mg1 0.000 0.000 0.500 1
In1 0.000 0.000 0.000 1
Cu1 0.500 0.500 0.500 1

=====

(12)
# Mg2Zn2InCu5 PBE optimized geometry
# Calculated volume in A^3/atom: 15.4
# E_form in eV/atom: -0.029
# ρ in g/cm3: 6.6
data_Mg2Zn2InCu5
_chemical_formula_sum 'Mg4 Zn4 In2 Cu10'
_cell_length_a 8.891
_cell_length_b 8.891
_cell_length_c 3.901
_cell_angle_alpha 90.00
_cell_angle_beta 90.00
_cell_angle_gamma 90.00
_space_group_name_H-M_alt 'P 4/m b m'
_space_group_IT_number 127
_space_group_name_Hall '-P 4 2ab'
loop_
_atom_site_label
_atom_site_fract_x
_atom_site_fract_y
_atom_site_fract_z
_atom_site_occupancy
Mg1 0.179 0.321 0.000 1
Zn1 0.116 0.616 0.000 1
In1 0.000 0.000 0.000 1
Cu1 0.000 0.500 0.500 1
Cu2 0.073 0.791 0.500 1

=====

(13)
# MgZrIn2Cu PBE optimized geometry
# Calculated volume in A^3/atom: 24.2
# E_form in eV/atom: 0.284
# ρ in g/cm3: 5.6
data_MgZrIn2Cu
_chemical_formula_sum 'Mg1 Zr1 In2 Cu1'
_cell_length_a 4.883
_cell_length_b 4.883
_cell_length_c 5.074
_cell_angle_alpha 90.00
_cell_angle_beta 90.00
_cell_angle_gamma 90.00
_space_group_name_H-M_alt 'P 4/m m m'
_space_group_IT_number 123
_space_group_name_Hall '-P 4 2'
loop_
_atom_site_label
_atom_site_fract_x
_atom_site_fract_y
_atom_site_fract_z
_atom_site_occupancy
Mg1 0.000 0.000 0.000 1
Zr1 0.500 0.500 0.000 1
In1 0.000 0.500 0.500 1
Cu1 0.500 0.500 0.500 1

=====

(14)
# MnInCu4 PBE optimized geometry
# Calculated volume in A^3/atom: 14.2
# E_form in eV/atom: 0.046
# ρ in g/cm3: 8.3
data_MnInCu4
_chemical_formula_sum 'Mn2 In2 Cu8'
_cell_length_a 4.9760
_cell_length_b 4.9760
_cell_length_c 7.9229
_cell_angle_alpha 90.00
_cell_angle_beta 90.00
_cell_angle_gamma 120.00
_space_group_name_H-M_alt 'P 63 m c'
_space_group_IT_number 186
_space_group_name_Hall 'P 6c -2c'
loop_
_atom_site_label
_atom_site_fract_x
_atom_site_fract_y
_atom_site_fract_z
_atom_site_occupancy
Mn1 0.3333 0.6667 0.0000 1
In1 0.3333 0.6667 0.3739 1
Cu1 0.0000 0.0000 0.4367 1
Cu2 0.1697 0.3394 0.6866 1

=====

(15)
# MnIn2Cu PBE optimized geometry
# Calculated volume in A^3/atom: 19.1
# E_form in eV/atom: 0.195
# ρ in g/cm3: 7.6
data_MnIn2Cu
_chemical_formula_sum 'Mn1 In2 Cu1'
_cell_length_a 3.134
_cell_length_b 3.134
_cell_length_c 7.785
_cell_angle_alpha 90.00
_cell_angle_beta 90.00
_cell_angle_gamma 90.00
_space_group_name_H-M_alt 'P 4 m m'
_space_group_IT_number 99
loop_
_space_group_symop_operation_xyz
'x,y,z'
'-y,x,z'
'-x,-y,z'
'y,-x,z'
'-x,y,z'
'y,x,z'
'x,-y,z'
'-y,-x,z'
loop_
_atom_site_label
_atom_site_fract_x
_atom_site_fract_y
_atom_site_fract_z
_atom_site_occupancy
Mn1 0.000 0.000 0.000 1
In1 0.000 0.000 0.409 1
In2 0.500 0.500 0.752 1
Cu1 0.500 0.500 0.177 1

=====

(16)
# MnInCu PBE optimized geometry
# Calculated volume in A^3/atom: 18.2
# E_form in eV/atom: 0.249
# ρ in g/cm3: 7.1
data_MnInCu
_chemical_formula_sum 'Mn4 In4 Cu4'
_cell_length_a 6.026
_cell_length_b 6.026
_cell_length_c 6.026
_cell_angle_alpha 90.00
_cell_angle_beta 90.00
_cell_angle_gamma 90.00
_space_group_name_H-M_alt 'F -4 3 m'
_space_group_IT_number 216
_space_group_name_Hall 'F -4 2 3'
loop_
_atom_site_label
_atom_site_fract_x
_atom_site_fract_y
_atom_site_fract_z
_atom_site_occupancy
Mn1 0.000 0.000 0.000 1
In1 0.000 0.000 0.500 1
Cu1 0.250 0.250 0.250 1

=====

(17)
# MnIn2Cu PBE optimized geometry
# Calculated volume in A^3/atom: 17.9
# E_form in eV/atom: 0.222
# ρ in g/cm3: 8.1
data_MnIn2Cu
_chemical_formula_sum 'Mn2 In4 Cu2'
_cell_length_a 4.009
_cell_length_b 4.009
_cell_length_c 8.921
_cell_angle_alpha 90.00
_cell_angle_beta 90.00
_cell_angle_gamma 90.00
_space_group_name_H-M_alt 'I -4 m 2'
_space_group_IT_number 119
_space_group_name_Hall 'I -4 -2'
loop_
_atom_site_label
_atom_site_fract_x
_atom_site_fract_y
_atom_site_fract_z
_atom_site_occupancy
Mn1 0.000 0.000 0.000 1
In1 0.000 0.000 0.500 1
In2 0.000 0.500 0.250 1
Cu1 0.000 0.500 0.750 1

=====

(18)
# Mn2InCu PBE optimized geometry
# Calculated volume in A^3/atom: 16.1
# E_form in eV/atom: 0.285
# ρ in g/cm3: 7.4
data_Mn2InCu
_chemical_formula_sum 'Mn2 In1 Cu1'
_cell_length_a 2.913
_cell_length_b 4.120
_cell_length_c 5.561
_cell_angle_alpha 90.00
_cell_angle_beta 104.77
_cell_angle_gamma 90.00
_space_group_name_H-M_alt 'P 1 m 1'
_space_group_IT_number 6
loop_
_space_group_symop_operation_xyz
'x,y,z'
'x,-y,z'
loop_
_atom_site_label
_atom_site_fract_x
_atom_site_fract_y
_atom_site_fract_z
_atom_site_occupancy
Mn1 0.000 0.000 0.000 1
Mn2 0.358 0.500 0.718 1
In1 0.741 0.000 0.482 1
Cu1 0.588 0.500 0.176 1

=====

(19)
# MnInCu PBE optimized geometry
# Calculated volume in A^3/atom: 16.3
# E_form in eV/atom: 0.237
# ρ in g/cm3: 7.9
data_MnInCu
_chemical_formula_sum 'Mn2 In2 Cu2'
_cell_length_a 2.928
_cell_length_b 3.977
_cell_length_c 8.375
_cell_angle_alpha 90.00
_cell_angle_beta 90.00
_cell_angle_gamma 90.00
_space_group_name_H-M_alt 'I m m 2'
_space_group_IT_number 44
loop_
_space_group_symop_operation_xyz
'x,y,z'
'-x,-y,z'
'-x,y,z'
'x,-y,z'
'x+1/2,y+1/2,z+1/2'
'-x+1/2,-y+1/2,z+1/2'
'-x+1/2,y+1/2,z+1/2'
'x+1/2,-y+1/2,z+1/2'
loop_
_atom_site_label
_atom_site_fract_x
_atom_site_fract_y
_atom_site_fract_z
_atom_site_occupancy
Mn1 0.000 0.000 0.000 1
In1 0.000 0.000 0.329 1
Cu1 0.000 0.000 0.658 1

=====

(20)
# MnIn4Cu PBE optimized geometry
# Calculated volume in A^3/atom: 24.7
# E_form in eV/atom: 0.620
# ρ in g/cm3: 6.5
data_MnIn4Cu
_chemical_formula_sum 'Mn4 In16 Cu4'
_cell_length_a 8.398
_cell_length_b 8.398
_cell_length_c 8.398
_cell_angle_alpha 90.00
_cell_angle_beta 90.00
_cell_angle_gamma 90.00
_space_group_name_H-M_alt 'F -4 3 m'
_space_group_IT_number 216
_space_group_name_Hall 'F -4 2 3'
loop_
_atom_site_label
_atom_site_fract_x
_atom_site_fract_y
_atom_site_fract_z
_atom_site_occupancy
Mn1 0.000 0.000 0.000 1
In1 0.125 0.125 0.375 1
Cu1 0.250 0.250 0.750 1

=====

Total energy (computed, eV per cell): -56.79 -48.16 -13.42 -12.18 -56.46 -106.43 -34.86 -12.10 -55.53 -18.40 -18.40 -58.50 -18.30 -56.03 -17.96 -61.02 -35.71 -24.04 -30.59 -81.99